Entry from Alexandria: a relaxed Ti8Ni2N3 crystal (PBE).

Results
Formation energy from raw total energies, eV/atom: -0.787
E, eV/atom: -8.456
ρ, g/cm3: 5.03
Volume, A^3/atom: 13.773

Cell and atoms, written as extended XYZ:
```
13
Lattice="5.453 0.000 0.145 0.000 6.014 0.000 -2.036 -3.007 5.405" Properties=species:S:1:pos:R:3 pbc="T T T"
Ti -1.074 3.007 4.338
Ti 1.676 -1.571 4.351
Ti 1.676 1.571 4.351
Ti 4.491 0.000 1.212
Ti 1.741 1.436 1.199
Ti -1.488 0.000 4.098
Ti 1.741 4.578 1.199
Ti 4.905 3.007 1.452
Ni 2.815 3.007 2.608
Ni 0.602 0.000 2.942
N 0.000 1.485 0.000
N 2.727 0.000 0.072
N 0.000 4.529 0.000
```